No. 1
LaY3Tm4: relaxed, PBE.

Its formation energy is 0.180 eV/atom.

It has space group C2/m (No. 12), with a = 23.613 Å, b = 3.450 Å, c = 6.660 Å, α = 90.00°, β = 106.27° and γ = 90.00°. The inequivalent atoms are La at (0.000, 0.000, 0.000), Y at (0.000, 0.500, 0.500), Y at (0.129, 0.500, 0.376), Tm at (0.127, 0.500, 0.884) and Tm at (0.240, 0.000, 0.231).



No. 2
Th2URuC4: relaxed, PBE.

Its formation energy is 0.079 eV/atom.

It has space group Cmcm (No. 63), with a = 3.514 Å, b = 11.987 Å, c = 12.064 Å, α = 90.00°, β = 90.00° and γ = 90.00°. The inequivalent atoms are Th at (0.000, 0.135, 0.051), U at (0.000, 0.396, 0.250), Ru at (0.000, 0.349, 0.750), C at (0.000, 0.042, 0.250), C at (0.000, 0.212, 0.649) and C at (0.000, 0.500, 0.000).



No. 3
LiCd2Hg5: relaxed, PBE.

Its formation energy is -0.072 eV/atom.

It has space group Cm (No. 8), with a = 6.402 Å, b = 10.902 Å, c = 6.316 Å, α = 90.00°, β = 120.45° and γ = 90.00°. The inequivalent atoms are Li at (0.000, 0.000, 0.000), Cd at (0.256, 0.250, 0.499), Hg at (0.027, 0.500, 0.542), Hg at (0.256, 0.271, 0.999), Hg at (0.434, 0.000, 0.999) and Hg at (0.485, 0.500, 0.458).



No. 4
NaCaCl: relaxed, PBE.

Its uncorrected formation energy is -1.0747 eV per atom.

It has space group P-3m1 (No. 164), with a = 3.8982 Å, b = 3.8982 Å, c = 31.3569 Å, α = 90.00°, β = 90.00° and γ = 120.00°. The inequivalent atoms are Na at (0.3333, 0.6667, 0.2554), Na at (0.3333, 0.6667, 0.4513), Ca at (0.3333, 0.6667, 0.1087), Ca at (0.3333, 0.6667, 0.6474), Cl at (0.3333, 0.6667, 0.8365) and Cl at (0.3333, 0.6667, 0.9418).